Record 1
Sr12Sb3P5 | PBE | optimized geometry

- total magnetization (μB per atom) = 0.00
- uncorrected formation energy (meV/atom) = -933

Lattice parameters (Å, degrees): 18.5234 18.5234 18.5234 90.00 90.00 90.00
Closest atoms and distances in Å follow each position.
Space group Ia-3d (No. 230)
Inequivalent atoms, fractional coordinates:
Sr  0.0254  0.0598  0.6512 (multiplicity 96)  2 P 2.82-3.05
Sb  0.0000  0.2500  0.1250 (multiplicity 24)  8 Sr 3.51-3.59
P  0.0000  0.0000  0.0000 (multiplicity 16)  6 Sr 3.05
P  0.0000  0.2500  0.3750 (multiplicity 24)  4 Sr 2.82

---

Record 2
Si3Tc | PBE | optimized geometry

- total magnetization (μB per atom) = 0.00
- uncorrected formation energy (meV/atom) = 23
- N(E_F) (states/eV per cell) = 2.42

Lattice parameters (Å, degrees): 4.9594 7.1518 3.0367 90.00 90.00 90.00
Closest atoms and distances in Å follow each position.
Space group Cmmm (No. 65)
Inequivalent atoms, fractional coordinates:
Si  0.0000  0.0000  0.0000 (multiplicity 2)  2 Tc 2.48, 8 Si 2.65
Si  0.2500  0.2500  0.5000 (multiplicity 4)  6 Si 2.48-2.65, 4 Tc 2.65
Tc  0.0000  0.5000  0.0000 (multiplicity 2)  10 Si 2.48-2.65

---

Record 3
AcNd2Tm2 | PBE | optimized geometry

- total magnetization (μB per atom) = 0.00
- ΔE_f (eV/atom) = 0.13
- N(E_F) (states/eV per cell) = 27.88

Lattice parameters (Å, degrees): 3.7184 15.5449 12.4453 90.00 90.00 90.00
Closest atoms and distances in Å follow each position.
Space group Cmc2_1 (No. 36)
Inequivalent atoms, fractional coordinates:
Ac  0.0000  0.1288  0.0000 (multiplicity 4)  4 Tm 3.56-3.73, 2 Ac 3.72, 2 Nd 3.87
Nd  0.0000  0.1989  0.3320 (multiplicity 4)  5 Tm 3.39-3.79, 2 Nd 3.72
Nd  0.0000  0.4901  0.2419 (multiplicity 4)  4 Tm 3.28-3.66
Tm  0.0000  0.1940  0.6365 (multiplicity 4)  2 Tm 3.29, 4 Nd 3.49-3.66
Tm  0.0000  0.4339  0.9876 (multiplicity 4)  4 Nd 3.28-3.39, 2 Tm 3.29, 2 Ac 3.56

---

Record 4
Tb7Tm3Cd | PBE | optimized geometry

- total magnetization (μB per atom) = 0.00
- ΔE_f (eV/atom) = 0.16
- N(E_F) (states/eV per cell) = 14.94

Lattice parameters (Å, degrees): 6.9354 6.9354 8.4812 90.00 90.00 120.00
Closest atoms and distances in Å follow each position.
Space group P3m1 (No. 156)
Inequivalent atoms, fractional coordinates:
Tb  0.0000  0.0000  0.0000 (multiplicity 1)  3 Tm 3.43, 9 Tb 3.45-3.47
Tb  0.1635  0.3270  0.3346 (multiplicity 3)  7 Tb 3.40-3.53, 2 Tm 3.46, 2 Cd 3.47
Tb  0.5008  0.0016  0.0052 (multiplicity 3)  8 Tb 3.45-3.48, 1 Cd 3.45, 2 Tm 3.48
Tm  0.3307  0.1654  0.6703 (multiplicity 3)  5 Tb 3.43-3.48, 4 Tm 3.44-3.49, 1 Cd 3.47
Cd  0.6667  0.3333  0.3379 (multiplicity 1)  9 Tb 3.45-3.47, 3 Tm 3.47

---

Record 5
PrDy3Hg2 | PBE | optimized geometry

- total magnetization (μB per atom) = 0.00
- ΔE_f (eV/atom) = -0.26
- N(E_F) (states/eV per cell) = 21.48

Lattice parameters (Å, degrees): 16.1740 5.3693 8.9084 90.00 115.14 90.00
Closest atoms and distances in Å follow each position.
Space group C2/m (No. 12)
Inequivalent atoms, fractional coordinates:
Pr  0.1323  0.0000  0.1880 (multiplicity 4)  5 Hg 3.31-3.50, 3 Dy 3.52-3.58
Dy  0.0640  0.0000  0.7238 (multiplicity 4)  3 Hg 3.18-3.24, 2 Dy 3.52
Dy  0.1184  0.5000  0.5270 (multiplicity 4)  4 Hg 2.92-3.23
Dy  0.1940  0.5000  0.0004 (multiplicity 4)  2 Hg 2.97-3.16, 2 Dy 3.24
Hg  0.0088  0.5000  0.1682 (multiplicity 4)  1 Hg 2.89, 2 Dy 2.92-2.97
Hg  0.2248  0.0000  0.6078 (multiplicity 4)  5 Dy 3.10-3.23, 1 Pr 3.39

---

Record 6
CrGa2BrN | PBE | optimized geometry

- total magnetization (μB per atom) = 1.05
- uncorrected formation energy (meV/atom) = 617
- N(E_F) (states/eV per cell) = 4.85

Lattice parameters (Å, degrees): 4.0344 4.0344 7.0095 90.00 90.00 90.00
Closest atoms and distances in Å follow each position.
Space group P4/mmm (No. 123)
Inequivalent atoms, fractional coordinates:
Cr  0.0000  0.0000  0.0000 (multiplicity 1)  4 Br 2.85
Ga  0.0000  0.5000  0.5000 (multiplicity 2)  2 N 2.02
Br  0.5000  0.5000  0.0000 (multiplicity 1)  4 Cr 2.85
N  0.5000  0.5000  0.5000 (multiplicity 1)  4 Ga 2.02

---

Record 7
NbCIO2 | PBE | optimized geometry

- total magnetization (μB per atom) = 0.00
- uncorrected formation energy (meV/atom) = 1259
- N(E_F) (states/eV per cell) = 4.59

Lattice parameters (Å, degrees): 3.9715 3.9715 4.2411 90.00 90.00 90.00
Closest atoms and distances in Å follow each position.
Space group P4/mmm (No. 123)
Inequivalent atoms, fractional coordinates:
Nb  0.0000  0.0000  0.0000 (multiplicity 1)  4 I 2.81, 8 O 2.91
C  0.5000  0.5000  0.5000 (multiplicity 1)  4 O 1.99, 2 I 2.12
I  0.5000  0.5000  0.0000 (multiplicity 1)  2 C 2.12
O  0.0000  0.5000  0.5000 (multiplicity 2)  2 C 1.99

---

Record 8
Na2HgBiCl | PBE | optimized geometry

- total magnetization (μB per atom) = 0.00
- uncorrected formation energy (meV/atom) = -340
- N(E_F) (states/eV per cell) = 0.00

Lattice parameters (Å, degrees): 6.1272 6.1272 5.6716 90.00 90.00 90.00
Closest atoms and distances in Å follow each position.
Space group P4/mmm (No. 123)
Inequivalent atoms, fractional coordinates:
Na  0.0000  0.5000  0.0000 (multiplicity 2)  2 Bi 3.06
Hg  0.0000  0.0000  0.5000 (multiplicity 1)  8 Na 4.17, 4 Cl 4.33
Bi  0.5000  0.5000  0.0000 (multiplicity 1)  2 Cl 2.84, 4 Na 3.06
Cl  0.5000  0.5000  0.5000 (multiplicity 1)  2 Bi 2.84

---

Record 9
CaTc2Te | PBE | optimized geometry

- total magnetization (μB per atom) = 0.00
- uncorrected formation energy (meV/atom) = 556
- N(E_F) (states/eV per cell) = 5.24

Lattice parameters (Å, degrees): 3.2888 4.1869 6.0407 90.00 90.00 90.00
Closest atoms and distances in Å follow each position.
Space group Pmmm (No. 47)
Inequivalent atoms, fractional coordinates:
Ca  0.0000  0.0000  0.0000 (multiplicity 1)  2 Te 3.02, 8 Tc 3.24, 2 Ca 3.29
Tc  0.5000  0.5000  0.3071 (multiplicity 2)  1 Tc 2.33
Te  0.0000  0.0000  0.5000 (multiplicity 1)  8 Tc 2.91, 2 Ca 3.02

---

Record 10
SrTbPm4S8 | PBE | optimized geometry

- total magnetization (μB per atom) = 0.00
- uncorrected formation energy (meV/atom) = -1983
- N(E_F) (states/eV per cell) = 9.20

Lattice parameters (Å, degrees): 8.3482 8.3482 20.3033 90.00 90.00 120.00
Closest atoms and distances in Å follow each position.
Space group R3m (No. 160, hexagonal axes)
Inequivalent atoms, fractional coordinates:
Sr  0.0000  0.0000  0.0000 (multiplicity 3)  4 S 2.80-2.82
Tb  0.0000  0.0000  0.6263 (multiplicity 3)  6 S 2.73-2.83
Pm  0.0000  0.0000  0.2490 (multiplicity 3)  4 S 2.70-2.73
Pm  0.1690  0.3380  0.4572 (multiplicity 9)  6 S 2.78-2.89
S  0.0000  0.0000  0.3820 (multiplicity 3)  4 Pm 2.70-2.88
S  0.0000  0.0000  0.8620 (multiplicity 3)  3 Pm 2.78, 1 Sr 2.80
S  0.0371  0.5185  0.3767 (multiplicity 9)  1 Tb 2.73, 2 Pm 2.80, 1 Sr 2.82
S  0.1790  0.3579  0.2068 (multiplicity 9)  3 Pm 2.73-2.89, 1 Tb 2.83

---

Record 11
Y2AsRh | PBE | optimized geometry

- total magnetization (μB per atom) = 0.00
- ΔE_f (eV/atom) = -0.94
- N(E_F) (states/eV per cell) = 0.09

Lattice parameters (Å, degrees): 4.0710 4.0710 5.8241 90.00 90.00 90.00
Closest atoms and distances in Å follow each position.
Space group P4mm (No. 99)
Inequivalent atoms, fractional coordinates:
Y  0.0000  0.0000  0.0000 (multiplicity 1)  4 Rh 2.88, 2 As 2.91-2.92
Y  0.5000  0.5000  0.4511 (multiplicity 1)  2 Rh 2.78-3.04, 4 As 2.89
As  0.0000  0.0000  0.4990 (multiplicity 1)  6 Y 2.89-2.92
Rh  0.5000  0.5000  0.9740 (multiplicity 1)  6 Y 2.78-3.04

---

Record 12
Pa2BiI6 | PBE | optimized geometry

- total magnetization (μB per atom) = 0.33
- uncorrected formation energy (meV/atom) = -707
- N(E_F) (states/eV per cell) = 10.86

Lattice parameters (Å, degrees): 17.4135 3.8672 14.0868 90.00 119.21 90.00
Closest atoms and distances in Å follow each position.
Space group C2/m (No. 12)
Inequivalent atoms, fractional coordinates:
Pa  0.0624  0.0000  0.2165 (multiplicity 4)  6 I 3.17-3.26, 2 Bi 3.31
Bi  0.0000  0.5000  0.0000 (multiplicity 2)  2 I 3.16, 4 Pa 3.31
I  0.0897  0.5000  0.4084 (multiplicity 4)  2 Pa 3.17
I  0.1101  0.5000  0.8759 (multiplicity 4)  1 Bi 3.16, 2 Pa 3.26
I  0.2184  0.5000  0.2513 (multiplicity 4)  2 Pa 3.17

---

Question: Which of these has the highest total magnetization?
Answer: CrGa2BrN

---

Question: Which formula does entry 8 have?
Answer: Na2HgBiCl

---

Question: Among the records above, which one has the highest total magnetization?
Answer: CrGa2BrN

---

Question: What is the total magnetization in the ninth record?
Answer: 0.00 μB per atom